MoRh2 (PBE, relaxed); spin magnetization = 0.0 μB per formula unit; formation enthalpy at 0 K = -0.1468 eV per atom; raw total energy = -8.658 eV per atom
1.0
5.0349 -1.3776 0.0000
5.0349 1.3776 0.0000
-1.5911 0.0000 6.3268
Mo Rh
2 4
direct
0.0000 0.0000 0.0000
0.6737 0.6737 0.3441
0.0585 0.0585 0.6138
0.3366 0.3366 0.6753
0.3958 0.3958 0.2802
0.7199 0.7199 0.9527

---

TbCe2Se2N2 (PBE, relaxed); spin magnetization = 1.1 μB per formula unit; raw total energy = -7.492 eV per atom; E_form (uncorrected) = -1.761 eV per atom
1.0
6.3017 -1.9719 0.0000
6.3017 1.9719 0.0000
-3.8212 0.0000 6.0706
Tb Ce Se N
1 2 2 2
direct
0.0000 0.0000 0.0000
0.1974 0.1974 0.7576
0.8026 0.8026 0.2424
0.4296 0.4296 0.6618
0.5704 0.5704 0.3382
0.2037 0.2037 0.0814
0.7963 0.7963 0.9186

---

V4AsC (PBE, relaxed); spin magnetization = 0.0 μB per formula unit; formation enthalpy at 0 K = -0.1842 eV per atom; raw total energy = -8.575 eV per atom
1.0
5.3473 0.0000 0.0000
0.0000 5.2049 0.0000
-1.2441 0.0000 5.6850
V As C
8 2 2
direct
0.0881 0.1611 0.1985
0.0881 0.3389 0.6985
0.3476 0.6131 0.1084
0.3476 0.8869 0.6084
0.6524 0.1131 0.3916
0.6524 0.3869 0.8916
0.9119 0.6611 0.3015
0.9119 0.8389 0.8015
0.5000 0.0000 0.0000
0.5000 0.5000 0.5000
0.0000 0.0000 0.5000
0.0000 0.5000 0.0000

---

LaRe2Pt (PBE, relaxed); spin magnetization = 0.0 μB per formula unit; formation enthalpy at 0 K = 0.5673 eV per atom; raw total energy = -8.399 eV per atom
1.0
-2.0411 2.0411 4.4846
2.0411 -2.0411 4.4846
2.0411 2.0411 -4.4846
La Re Pt
1 2 1
direct
0.0000 0.0000 0.0000
0.2500 0.7500 0.5000
0.7500 0.2500 0.5000
0.5000 0.5000 0.0000

---

AcThSi2 (PBE, relaxed); spin magnetization = 0.0 μB per formula unit; raw total energy = -6.020 eV per atom; E_form (uncorrected) = -0.427 eV per atom
1.0
3.9794 0.0000 0.0000
0.0000 3.9794 0.0000
0.0000 0.0000 6.6735
Ac Th Si
1 1 2
direct
0.0000 0.0000 0.0000
0.0000 0.0000 0.5000
0.5000 0.5000 0.3064
0.5000 0.5000 0.6936

---

FeSi (PBE, relaxed); spin magnetization = 0.9 μB per formula unit; raw total energy = -6.999 eV per atom; E_form (uncorrected) = -0.056 eV per atom
1.0
6.3704 0.0000 0.0000
-3.1852 5.5169 0.0000
0.0000 0.0000 4.3026
Fe Si
6 6
direct
0.1014 0.4523 0.2500
0.3509 0.8986 0.2500
0.4523 0.3509 0.7500
0.5477 0.6491 0.2500
0.6491 0.1014 0.7500
0.8986 0.5477 0.7500
0.0657 0.2941 0.7500
0.2284 0.9343 0.7500
0.2941 0.2284 0.2500
0.7059 0.7716 0.7500
0.7716 0.0657 0.2500
0.9343 0.7059 0.2500

---

TlGePF2 (PBE, relaxed); spin magnetization = 0.0 μB per formula unit; raw total energy = -3.749 eV per atom; E_form (uncorrected) = -0.522 eV per atom
1.0
4.0390 0.0000 0.0000
0.0000 4.0390 0.0000
0.0000 0.0000 6.0537
Tl Ge P F
1 1 1 2
direct
0.0000 0.0000 0.0000
0.5000 0.5000 0.0000
0.0000 0.0000 0.5000
0.0000 0.5000 0.5000
0.5000 0.0000 0.5000

---

ReNiHg (PBE, relaxed); spin magnetization = 0.0 μB per formula unit; formation enthalpy at 0 K = 0.3856 eV per atom; raw total energy = -5.792 eV per atom
1.0
2.8924 0.0000 0.0000
1.4082 4.4498 0.0000
0.1084 1.1115 7.5027
Re Ni Hg
2 2 2
direct
0.0000 0.0000 0.0000
0.2610 0.4769 0.8662
0.5372 0.9472 0.7354
0.8021 0.4200 0.6017
0.0623 0.9163 0.4310
0.7315 0.4941 0.2151

---

SmHoTlRh (PBE, relaxed); spin magnetization = 0.0 μB per formula unit; formation enthalpy at 0 K = -0.4615 eV per atom; raw total energy = -5.215 eV per atom
1.0
0.0000 3.6479 3.6479
3.6479 0.0000 3.6479
3.6479 3.6479 0.0000
Sm Ho Tl Rh
1 1 1 1
direct
0.0000 0.0000 0.0000
0.5000 0.5000 0.5000
0.7500 0.7500 0.7500
0.2500 0.2500 0.2500

---

Sc2InMo (PBE, relaxed); spin magnetization = 0.0 μB per formula unit; formation enthalpy at 0 K = -0.0769 eV per atom; raw total energy = -6.635 eV per atom
1.0
1.8542 -2.4085 0.0000
1.8542 2.4085 0.0000
0.0000 0.0000 9.2535
Sc In Mo
2 1 1
direct
0.0000 0.0000 0.2240
0.0000 0.0000 0.7760
0.5000 0.5000 0.5000
0.5000 0.5000 0.0000

---

Li2CePrGe2 (PBE, relaxed); spin magnetization = 0.7 μB per formula unit; formation enthalpy at 0 K = -0.6055 eV per atom; raw total energy = -4.568 eV per atom
1.0
4.5125 0.0000 0.0000
-2.2562 3.9079 0.0000
0.0000 0.0000 7.5021
Li Ce Pr Ge
2 1 1 2
direct
0.3333 0.6667 0.2402
0.6667 0.3333 0.7598
0.0000 0.0000 0.0000
0.0000 0.0000 0.5000
0.3333 0.6667 0.7618
0.6667 0.3333 0.2382

---

AgHg2As (PBE, relaxed); spin magnetization = 0.0 μB per formula unit; formation enthalpy at 0 K = 0.2197 eV per atom; raw total energy = -1.806 eV per atom
1.0
-2.1318 2.1318 10.0535
2.1318 -2.1318 10.0535
2.1318 2.1318 -10.0535
Ag Hg As
2 4 2
direct
0.0000 0.0000 0.0000
0.7500 0.2500 0.5000
0.1212 0.6250 0.9962
0.3750 0.3712 0.4962
0.6288 0.1250 0.0038
0.8750 0.8788 0.5038
0.2500 0.7500 0.5000
0.5000 0.5000 0.0000

---

LiIrPdO4 (PBE, relaxed); spin magnetization = 0.0 μB per formula unit; raw total energy = -5.963 eV per atom; E_form (uncorrected) = -0.849 eV per atom
1.0
-2.7983 3.0571 5.1506
2.7983 -3.0571 5.1506
2.7983 3.0571 -5.1506
Li Ir Pd O
2 2 2 8
direct
0.4071 0.1571 0.2500
0.5929 0.8429 0.7500
0.0000 0.5000 0.5000
0.5000 0.5000 0.0000
0.0000 0.0000 0.5000
0.0000 0.5000 0.0000
0.1716 0.6951 0.4765
0.2767 0.3057 0.5290
0.2767 0.7477 0.9710
0.2815 0.3049 0.9765
0.7185 0.6951 0.0235
0.7233 0.2523 0.0290
0.7233 0.6943 0.4710
0.8284 0.3049 0.5235

---

K4Au2O (PBE, relaxed); spin magnetization = 0.1 μB per formula unit; raw total energy = -2.882 eV per atom; E_form (uncorrected) = -0.610 eV per atom
1.0
6.4299 -2.1287 0.0000
6.4299 2.1287 0.0000
-4.2807 0.0000 7.9062
K Au O
4 2 1
direct
0.0703 0.0703 0.3229
0.3552 0.3552 0.9485
0.6448 0.6448 0.0515
0.9297 0.9297 0.6771
0.3697 0.3697 0.3537
0.6303 0.6303 0.6463
0.0000 0.0000 0.0000